# 1
Density functional theory data (PBE) for crystalline TbIn2Pb at its relaxed geometry.

Lattice parameters (Å, degrees): 3.941 3.941 7.103 90.00 90.00 90.00
Space group P4/mmm (No. 123)
Inequivalent atoms, fractional coordinates:
Tb1 0.000 0.000 0.000 (multiplicity 1)
In1 0.500 0.500 0.258 (multiplicity 2)
Pb1 0.000 0.000 0.500 (multiplicity 1)

Properties
The value obtained for the total DFT energy (no corrections) is -3.65 eV per atom. The formation energy comes out at -0.20 eV/atom. As for the density of states at the Fermi level: 2.32 states/eV/cell.

=====

# 2
Density functional theory data (PBE) for crystalline KMg2As at its relaxed geometry.

Lattice parameters (Å, degrees): 4.713 4.713 9.219 90.00 90.00 90.00
Space group I4/mmm (No. 139)
Inequivalent atoms, fractional coordinates:
K1 0.000 0.000 0.000 (multiplicity 2)
Mg1 0.000 0.500 0.250 (multiplicity 4)
As1 0.000 0.000 0.500 (multiplicity 2)

Properties
The value obtained for the total DFT energy (no corrections) is -2.22 eV per atom. The formation energy comes out at 0.02 eV/atom. As for the density of states at the Fermi level: 4.11 states/eV/cell.

=====

# 3
Density functional theory data (PBE) for crystalline LiTlRu2 at its relaxed geometry.

Lattice parameters (Å, degrees): 2.9180 2.9180 26.6596 90.00 90.00 120.00
Space group R-3m (No. 166, hexagonal axes)
Inequivalent atoms, fractional coordinates:
Li1 0.0000 0.0000 0.0000 (multiplicity 3)
Tl1 0.0000 0.0000 0.5000 (multiplicity 3)
Ru1 0.0000 0.0000 0.2524 (multiplicity 6)

Properties
The energy above the most stable polymorph in this dataset comes out at 425.6 meV per atom. The value obtained for the total DFT energy (no corrections) is -5.05 eV per atom. The formation energy comes out at 0.66 eV/atom. As for the density of states at the Fermi level: 9.67 states/eV/cell.

=====

# 4
Density functional theory data (PBE) for crystalline LiCa2ThSe4 at its relaxed geometry.

Lattice parameters (Å, degrees): 7.189 4.140 7.257 90.00 108.77 90.00
Space group P2/m (No. 10)
Inequivalent atoms, fractional coordinates:
Li1 0.000 0.000 0.000 (multiplicity 1)
Ca1 0.000 0.500 0.500 (multiplicity 1)
Ca2 0.500 0.000 0.500 (multiplicity 1)
Th1 0.500 0.500 0.000 (multiplicity 1)
Se1 0.243 0.000 0.750 (multiplicity 2)
Se2 0.247 0.500 0.242 (multiplicity 2)

Properties
The value obtained for the total DFT energy (no corrections) is -5.14 eV per atom. As for the density of states at the Fermi level: 2.06 states/eV/cell. The formation energy (no corrections) comes out at -1337 kJ/mol of formula units.